# Tb2Sm12Dy5 (PBE, optimized geometry)
# Electronic total energy (eV/atom): -4.555
# Crystal system: monoclinic
# Formation energy from the elements (meV per atom): 124
# Total moment (μB per atom): 0.000
# Density of states at the Fermi level (states/eV per cell): 54.184
data_Tb2Sm12Dy5
_chemical_formula_sum 'Tb4 Sm24 Dy10'
_symmetry_space_group_name_H-M 'C 1 2/m 1'
_symmetry_Int_Tables_number 12
_cell_length_a 15.793
_cell_length_b 9.267
_cell_length_c 8.706
_cell_angle_alpha 90.00
_cell_angle_beta 92.20
_cell_angle_gamma 90.00
loop_
_symmetry_equiv_pos_as_xyz
'x,y,z'
'-x,-y,-z'
'-x,y,-z'
'x,-y,z'
'x+1/2,y+1/2,z'
'-x+1/2,-y+1/2,-z'
'-x+1/2,y+1/2,-z'
'x+1/2,-y+1/2,z'
loop_
_atom_site_label
_atom_site_type_symbol
_atom_site_fract_x
_atom_site_fract_y
_atom_site_fract_z
Tb1 Tb 0.000 0.171 0.000
Sm1 Sm 0.059 0.000 0.341
Sm2 Sm 0.079 0.500 0.880
Sm3 Sm 0.130 0.195 0.676
Sm4 Sm 0.150 0.319 0.238
Dy1 Dy 0.000 0.500 0.500
Dy2 Dy 0.204 0.000 0.028
Dy3 Dy 0.231 0.500 0.568



# Tb2Sm5Dy4 (PBE, optimized geometry)
# Electronic total energy (eV/atom): -4.514
# Crystal system: monoclinic
# Formation energy from the elements (meV per atom): 147
# Total moment (μB per atom): 0.000
# Density of states at the Fermi level (states/eV per cell): 34.854
data_Tb2Sm5Dy4
_chemical_formula_sum 'Tb4 Sm10 Dy8'
_symmetry_space_group_name_H-M 'C 1 2/m 1'
_symmetry_Int_Tables_number 12
_cell_length_a 23.958
_cell_length_b 3.479
_cell_length_c 8.768
_cell_angle_alpha 90.00
_cell_angle_beta 97.13
_cell_angle_gamma 90.00
loop_
_symmetry_equiv_pos_as_xyz
'x,y,z'
'-x,-y,-z'
'-x,y,-z'
'x,-y,z'
'x+1/2,y+1/2,z'
'-x+1/2,-y+1/2,-z'
'-x+1/2,y+1/2,-z'
'x+1/2,-y+1/2,z'
loop_
_atom_site_label
_atom_site_type_symbol
_atom_site_fract_x
_atom_site_fract_y
_atom_site_fract_z
Tb1 Tb 0.092 0.000 0.235
Sm1 Sm 0.000 0.500 0.500
Sm2 Sm 0.140 0.000 0.619
Sm3 Sm 0.232 0.000 0.321
Dy1 Dy 0.045 0.000 0.863
Dy2 Dy 0.176 0.500 0.971



# Tb8Sm3Dy3 (PBE, optimized geometry)
# Electronic total energy (eV/atom): -4.536
# Crystal system: orthorhombic
# Formation energy from the elements (meV per atom): 107
# Total moment (μB per atom): 0.000
# Density of states at the Fermi level (states/eV per cell): 40.282
data_Tb8Sm3Dy3
_chemical_formula_sum 'Tb16 Sm6 Dy6'
_symmetry_space_group_name_H-M 'I m m m'
_symmetry_Int_Tables_number 71
_symmetry_space_group_name_Hall '-I 2 2'
_cell_length_a 5.649
_cell_length_b 10.818
_cell_length_c 14.997
_cell_angle_alpha 90.00
_cell_angle_beta 90.00
_cell_angle_gamma 90.00
loop_
_atom_site_label
_atom_site_type_symbol
_atom_site_fract_x
_atom_site_fract_y
_atom_site_fract_z
Tb1 Tb 0.000 0.159 0.103
Tb2 Tb 0.000 0.340 0.279
Sm1 Sm 0.000 0.000 0.318
Sm2 Sm 0.000 0.500 0.000
Dy1 Dy 0.000 0.203 0.500
Dy2 Dy 0.000 0.500 0.500



# TbSm3Dy (PBE, optimized geometry)
# Electronic total energy (eV/atom): -4.659
# Crystal system: monoclinic
# Formation energy from the elements (meV per atom): 19
# Total moment (μB per atom): 0.000
# Density of states at the Fermi level (states/eV per cell): 18.853
data_TbSm3Dy
_chemical_formula_sum 'Tb2 Sm6 Dy2'
_symmetry_space_group_name_H-M 'P 1 21/m 1'
_symmetry_Int_Tables_number 11
_cell_length_a 6.318
_cell_length_b 5.767
_cell_length_c 9.657
_cell_angle_alpha 90.00
_cell_angle_beta 109.07
_cell_angle_gamma 90.00
loop_
_symmetry_equiv_pos_as_xyz
'x,y,z'
'-x,-y,-z'
'-x,y+1/2,-z'
'x,-y+1/2,z'
loop_
_atom_site_label
_atom_site_type_symbol
_atom_site_fract_x
_atom_site_fract_y
_atom_site_fract_z
Tb1 Tb 0.134 0.250 0.100
Sm1 Sm 0.067 0.750 0.299
Sm2 Sm 0.334 0.250 0.500
Sm3 Sm 0.467 0.750 0.100
Dy1 Dy 0.265 0.750 0.701